No. 1
Material: Y2ZnGaH
Method: DFT, PBE-GGA
State: optimized geometry

Uncorrected energy   -4.5262 eV/atom

abc: 4.9014 4.9014 3.8291
angles: 90.00 90.00 90.00
Last column: nearest neighbours and their distance in Å.
Element x y z (fractional)
Y: 0.0000 0.5000 0.0000  2 H 2.45
Y: 0.5000 0.0000 0.0000  2 H 2.45
Zn: 0.0000 0.0000 0.5000  2 H 1.91
Ga: 0.5000 0.5000 0.5000  8 Y 3.11, 4 Zn 3.47
H: 0.0000 0.0000 0.0000  2 Zn 1.91

---

No. 2
Material: PmSeF
Method: DFT, PBE-GGA
State: optimized geometry

E_form (uncorrected)   -2.78 eV/atom

abc: 4.2086 11.1426 5.8972
angles: 90.00 90.00 90.00
Last column: nearest neighbours and their distance in Å.
Element x y z (fractional)
Pm: 0.0000 0.1411 0.2500  2 F 2.25
Pm: 0.0000 0.8589 0.7500  2 F 2.25
Pm: 0.5000 0.3589 0.7500  2 F 2.25
Pm: 0.5000 0.6411 0.2500  2 F 2.25
Se: 0.0000 0.1518 0.7500  5 Pm 2.95-3.26, 3 F 3.11-3.24
Se: 0.0000 0.8482 0.2500  5 Pm 2.95-3.26, 3 F 3.11-3.24
Se: 0.5000 0.3482 0.2500  5 Pm 2.95-3.26, 3 F 3.11-3.24
Se: 0.5000 0.6518 0.7500  5 Pm 2.95-3.26, 3 F 3.11-3.24
F: 0.0000 0.4310 0.7500  2 Pm 2.25
F: 0.0000 0.5690 0.2500  2 Pm 2.25
F: 0.5000 0.0690 0.2500  2 Pm 2.25
F: 0.5000 0.9310 0.7500  2 Pm 2.25

---

| no. | volume (Å³/atom) | total magnetization (μB per formula unit) |
| --- | --- | --- |
| 1 | 18.4 | 0.000 |
| 2 | 23.0 | 0.000 |